Arrangement P

A plane-wave DFT calculation with PBE was carried out for crystalline TlCd2Ru at its relaxed geometry.

abc: 6.7929 6.7929 6.7929
angles: 90.00 90.00 90.00
Space group F-43m (No. 216)
Unique sites:
Tl 0.0000 0.0000 0.0000 [4 per cell]
Cd 0.0000 0.0000 0.5000 [4 per cell]
Cd 0.2500 0.2500 0.7500 [4 per cell]
Ru 0.2500 0.2500 0.2500 [4 per cell]


Arrangement Q

A plane-wave DFT calculation with PBE was carried out for crystalline TlCd2Ru at its relaxed geometry.

abc: 4.0592 4.0592 9.5469
angles: 90.00 90.00 90.00
Space group I4/mmm (No. 139)
Unique sites:
Tl 0.0000 0.0000 0.0000 [2 per cell]
Cd 0.0000 0.5000 0.2500 [4 per cell]
Ru 0.0000 0.0000 0.5000 [2 per cell]


Arrangement R

A plane-wave DFT calculation with PBE was carried out for crystalline TlCd2Ru at its relaxed geometry.

abc: 3.6328 3.7218 6.0020
angles: 90.00 90.00 90.00
Space group Pmmm (No. 47)
Unique sites:
Tl 0.0000 0.0000 0.0000 [1 per cell]
Cd 0.5000 0.5000 0.2745 [2 per cell]
Ru 0.0000 0.0000 0.5000 [1 per cell]


Tell me which of them is the least stable. Sure, it is arrangement P.


Arrangement P

A plane-wave DFT calculation with PBE was carried out for crystalline TlCd2Ru at its relaxed geometry.

abc: 4.1735 4.1735 8.9937
angles: 90.00 90.00 90.00
Space group I-4m2 (No. 119)
Unique sites:
Tl 0.0000 0.0000 0.0000 [2 per cell]
Cd 0.0000 0.0000 0.5000 [2 per cell]
Cd 0.0000 0.5000 0.7500 [2 per cell]
Ru 0.0000 0.5000 0.2500 [2 per cell]


Arrangement Q

A plane-wave DFT calculation with PBE was carried out for crystalline TlCd2Ru at its relaxed geometry.

abc: 6.8655 6.8655 6.8655
angles: 90.00 90.00 90.00
Space group Fm-3m (No. 225)
Unique sites:
Tl 0.0000 0.0000 0.0000 [4 per cell]
Cd 0.2500 0.2500 0.2500 [8 per cell]
Ru 0.0000 0.0000 0.5000 [4 per cell]


Tell me which of them is the least stable. Sure, it is arrangement Q.


Arrangement P

A plane-wave DFT calculation with PBE was carried out for crystalline TlCdRu at its relaxed geometry.

abc: 3.1278 3.1278 7.2120
angles: 90.00 90.00 120.00
Space group P3m1 (No. 156)
Unique sites:
Tl 0.0000 0.0000 0.0000 [1 per cell]
Cd 0.6667 0.3333 0.3929 [1 per cell]
Ru 0.3333 0.6667 0.6932 [1 per cell]


Arrangement Q

A plane-wave DFT calculation with PBE was carried out for crystalline TlCdRu at its relaxed geometry.

abc: 3.3086 3.3086 10.9683
angles: 90.00 90.00 90.00
Space group I4mm (No. 107)
Unique sites:
Tl 0.0000 0.0000 0.0000 [2 per cell]
Cd 0.0000 0.0000 0.2934 [2 per cell]
Ru 0.0000 0.0000 0.6473 [2 per cell]


Arrangement R

A plane-wave DFT calculation with PBE was carried out for crystalline TlCdRu at its relaxed geometry.

abc: 6.4496 6.4496 6.4496
angles: 90.00 90.00 90.00
Space group F-43m (No. 216)
Unique sites:
Tl 0.0000 0.0000 0.0000 [4 per cell]
Cd 0.0000 0.0000 0.5000 [4 per cell]
Ru 0.2500 0.2500 0.2500 [4 per cell]


Tell me which of them is the least stable. Sure, it is arrangement R.


Arrangement P

A plane-wave DFT calculation with PBE was carried out for crystalline Tm4CdRu at its relaxed geometry.

abc: 8.1309 7.0556 5.8488
angles: 90.00 100.38 90.00
Space group P2_1/c (No. 14)
Unique sites:
Tm 0.1339 0.1401 0.4113 [4 per cell]
Tm 0.2929 0.6242 0.4378 [4 per cell]
Cd 0.5000 0.0000 0.5000 [2 per cell]
Ru 0.0000 0.0000 0.0000 [2 per cell]


Arrangement Q

A plane-wave DFT calculation with PBE was carried out for crystalline Tm4CdRu at its relaxed geometry.

abc: 13.4201 13.4201 13.4201
angles: 90.00 90.00 90.00
Space group F-43m (No. 216)
Unique sites:
Tm 0.0000 0.0000 0.1888 [24 per cell]
Tm 0.0610 0.2500 0.2500 [24 per cell]
Tm 0.0965 0.0965 0.5965 [16 per cell]
Cd 0.1692 0.1692 0.8308 [16 per cell]
Ru 0.1102 0.1102 0.3898 [16 per cell]


Tell me which of them is the least stable. Sure, it is arrangement P.


Arrangement P

A plane-wave DFT calculation with PBE was carried out for crystalline Tm7Cd2Ru2 at its relaxed geometry.

abc: 3.6994 16.4449 9.3462
angles: 90.00 90.00 90.00
Space group Imm2 (No. 44)
Unique sites:
Tm 0.0000 0.0000 0.0000 [2 per cell]
Tm 0.0000 0.1356 0.5657 [4 per cell]
Tm 0.0000 0.3168 0.3715 [4 per cell]
Tm 0.0000 0.3483 0.7334 [4 per cell]
Cd 0.0000 0.0000 0.3321 [2 per cell]
Cd 0.0000 0.5000 0.2273 [2 per cell]
Ru 0.0000 0.2429 0.0751 [4 per cell]


Arrangement Q

A plane-wave DFT calculation with PBE was carried out for crystalline Tm7Cd2Ru2 at its relaxed geometry.

abc: 7.8644 10.7332 7.0832
angles: 90.00 90.00 90.00
Space group Cmmm (No. 65)
Unique sites:
Tm 0.0000 0.0000 0.0000 [2 per cell]
Tm 0.0000 0.5000 0.2400 [4 per cell]
Tm 0.2500 0.2500 0.2509 [8 per cell]
Cd 0.1781 0.0000 0.5000 [4 per cell]
Ru 0.0000 0.2933 0.0000 [4 per cell]


Tell me which of them is the least stable. Sure, it is arrangement Q.


Arrangement P

A plane-wave DFT calculation with PBE was carried out for crystalline Tm3CdRu at its relaxed geometry.

abc: 10.1243 14.9481 3.4903
angles: 90.00 90.00 90.00
Space group Cmmm (No. 65)
Unique sites:
Tm 0.0000 0.1932 0.0000 [4 per cell]
Tm 0.2057 0.3850 0.5000 [8 per cell]
Cd 0.0000 0.0000 0.5000 [2 per cell]
Cd 0.0000 0.5000 0.0000 [2 per cell]
Ru 0.2500 0.2500 0.0000 [4 per cell]


Arrangement Q

A plane-wave DFT calculation with PBE was carried out for crystalline Tm3CdRu at its relaxed geometry.

abc: 6.4143 9.5872 15.9865
angles: 90.00 90.00 90.00
Space group Fmmm (No. 69)
Unique sites:
Tm 0.0000 0.0000 0.1995 [8 per cell]
Tm 0.0000 0.1873 0.3876 [16 per cell]
Cd 0.2106 0.0000 0.0000 [8 per cell]
Ru 0.2500 0.2500 0.2500 [8 per cell]


Tell me which of them is the least stable. Sure, it is arrangement P.


Arrangement P

A plane-wave DFT calculation with PBE was carried out for crystalline V2CdRu2 at its relaxed geometry.

abc: 7.3377 7.3377 2.8533
angles: 90.00 90.00 90.00
Space group P4/mbm (No. 127)
Unique sites:
V 0.1527 0.3473 0.0000 [4 per cell]
Cd 0.0000 0.0000 0.5000 [2 per cell]
Ru 0.1398 0.6398 0.5000 [4 per cell]


Arrangement Q

A plane-wave DFT calculation with PBE was carried out for crystalline V2CdRu2 at its relaxed geometry.

abc: 7.3808 7.3808 2.8184
angles: 90.00 90.00 90.00
Space group P4/mbm (No. 127)
Unique sites:
V 0.1396 0.3604 0.0000 [4 per cell]
Cd 0.0000 0.0000 0.0000 [2 per cell]
Ru 0.1515 0.6515 0.5000 [4 per cell]


Tell me which of them is the least stable. Sure, it is arrangement Q.


Arrangement P

A plane-wave DFT calculation with PBE was carried out for crystalline V2CdRu at its relaxed geometry.

abc: 7.0862 7.0862 5.3768
angles: 90.00 90.00 90.00
Space group I-42d (No. 122)
Unique sites:
V 0.2005 0.7500 0.1250 [8 per cell]
Cd 0.0000 0.0000 0.5000 [4 per cell]
Ru 0.0000 0.0000 0.0000 [4 per cell]


Arrangement Q

A plane-wave DFT calculation with PBE was carried out for crystalline V2CdRu at its relaxed geometry.

abc: 6.2652 6.2652 6.2652
angles: 90.00 90.00 90.00
Space group Fm-3m (No. 225)
Unique sites:
V 0.2500 0.2500 0.2500 [8 per cell]
Cd 0.0000 0.0000 0.0000 [4 per cell]
Ru 0.0000 0.0000 0.5000 [4 per cell]


Tell me which of them is the least stable. Sure, it is arrangement P.


Arrangement P

A plane-wave DFT calculation with PBE was carried out for crystalline CdRu3W at its relaxed geometry.

abc: 4.6578 4.6578 4.6578
angles: 90.00 90.00 90.00
Space group Pm-3m (No. 221)
Unique sites:
Cd 0.0000 0.0000 0.0000 [1 per cell]
Ru 0.0000 0.0000 0.5000 [3 per cell]
W 0.5000 0.5000 0.5000 [1 per cell]


Arrangement Q

A plane-wave DFT calculation with PBE was carried out for crystalline CdRu3W at its relaxed geometry.

abc: 4.7033 4.7033 4.7033
angles: 90.00 90.00 90.00
Space group Pm-3m (No. 221)
Unique sites:
Cd 0.0000 0.0000 0.0000 [1 per cell]
Ru 0.0000 0.5000 0.5000 [3 per cell]
W 0.5000 0.5000 0.5000 [1 per cell]


Tell me which of them is the least stable. Sure, it is arrangement P.


Arrangement P

A plane-wave DFT calculation with PBE was carried out for crystalline YCd3Ru at its relaxed geometry.

abc: 5.0975 5.0975 5.0975
angles: 90.00 90.00 90.00
Space group Pm-3m (No. 221)
Unique sites:
Y 0.0000 0.0000 0.0000 [1 per cell]
Cd 0.0000 0.5000 0.5000 [3 per cell]
Ru 0.5000 0.5000 0.5000 [1 per cell]


Arrangement Q

A plane-wave DFT calculation with PBE was carried out for crystalline YCd3Ru at its relaxed geometry.

abc: 5.7027 5.7027 5.7027
angles: 90.00 90.00 90.00
Space group Pm-3m (No. 221)
Unique sites:
Y 0.0000 0.0000 0.0000 [1 per cell]
Cd 0.0000 0.0000 0.5000 [3 per cell]
Ru 0.5000 0.5000 0.5000 [1 per cell]


Tell me which of them is the least stable. Sure, it is arrangement Q.


Arrangement P

A plane-wave DFT calculation with PBE was carried out for crystalline ZnCd2Ru2 at its relaxed geometry.

abc: 3.5499 3.5499 15.1428
angles: 90.00 90.00 90.00
Space group I4/mmm (No. 139)
Unique sites:
Zn 0.0000 0.0000 0.0000 [2 per cell]
Cd 0.0000 0.0000 0.4012 [4 per cell]
Ru 0.0000 0.5000 0.2500 [4 per cell]


Arrangement Q

A plane-wave DFT calculation with PBE was carried out for crystalline ZnCd2Ru2 at its relaxed geometry.

abc: 6.3852 6.3852 4.3709
angles: 90.00 90.00 90.00
Space group P4/mbm (No. 127)
Unique sites:
Zn 0.0000 0.0000 0.0000 [2 per cell]
Cd 0.1736 0.3264 0.5000 [4 per cell]
Ru 0.1308 0.6308 0.0000 [4 per cell]


Tell me which of them is the least stable. Sure, it is arrangement P.


Arrangement P

A plane-wave DFT calculation with PBE was carried out for crystalline ZnCd3Ru at its relaxed geometry.

abc: 5.2027 5.2027 5.2027
angles: 90.00 90.00 90.00
Space group Pm-3m (No. 221)
Unique sites:
Zn 0.0000 0.0000 0.0000 [1 per cell]
Cd 0.0000 0.5000 0.5000 [3 per cell]
Ru 0.5000 0.5000 0.5000 [1 per cell]


Arrangement Q

A plane-wave DFT calculation with PBE was carried out for crystalline ZnCd3Ru at its relaxed geometry.

abc: 4.8875 4.8875 4.8875
angles: 90.00 90.00 90.00
Space group Pm-3m (No. 221)
Unique sites:
Zn 0.0000 0.0000 0.0000 [1 per cell]
Cd 0.0000 0.0000 0.5000 [3 per cell]
Ru 0.5000 0.5000 0.5000 [1 per cell]


Tell me which of them is the least stable. Sure, it is arrangement Q.